VASP calculation (meta-GGA SCAN) on YMnBe2 at its PBEsol-relaxed geometry.

Results
E_tot = -54.72 eV/cell
ρ = 5.052 g/cm³
Space-group type = P4/mmm (123)
Formation energy = 0.02 eV/atom
Energy relative to the lowest polymorph listed for this composition = 0.000 eV/atom

abc: 2.9691 2.9691 6.0356
angles: 90.00 90.00 90.00
Element x y z (fractional)
Y: 0.0000 0.0000 0.0000
Mn: 0.0000 0.0000 0.5000
Be: 0.5000 0.5000 0.3289
Be: 0.5000 0.5000 0.6711